The following is a GGA-PBE calculation of BaAl2In2 after structural relaxation, from the Alexandria database.

The structure in CIF format:
```
data_BaAl2In2
_cell_length_a 8.696
_cell_length_b 8.696
_cell_length_c 3.462
_cell_angle_alpha 90.00
_cell_angle_beta 90.00
_cell_angle_gamma 90.00
_space_group_name_H-M_alt 'P 1'
_space_group_IT_number 1
loop_
_space_group_symop_operation_xyz
'x,y,z'
loop_
_atom_site_label
_atom_site_type_symbol
_atom_site_fract_x
_atom_site_fract_y
_atom_site_fract_z
_atom_site_occupancy
Ba1 Ba 0.000 0.000 0.000 1
Ba2 Ba 0.500 0.500 0.000 1
Al1 Al 0.122 0.378 0.000 1
Al2 Al 0.378 0.878 0.000 1
Al3 Al 0.622 0.122 0.000 1
Al4 Al 0.878 0.622 0.000 1
In1 In 0.161 0.661 0.500 1
In2 In 0.339 0.161 0.500 1
In3 In 0.661 0.839 0.500 1
In4 In 0.839 0.339 0.500 1
```

SG   No. 127
DFT formation energy   -1.229 kcal/mol of atoms
Total magnetization   0.0 μB per formula unit